Here is a geometry-optimized CsSi structure from Alexandria. Energies are from PBE.

Cell: 13.867 13.867 3.998 Å, 90.00 90.00 120.00°
Fractional positions:
1 Cs 0.221 0.443 0.250
2 Cs 0.221 0.779 0.250
3 Cs 0.443 0.221 0.750
4 Cs 0.557 0.779 0.250
5 Cs 0.779 0.221 0.750
6 Cs 0.779 0.557 0.750
7 Si 0.052 0.526 0.750
8 Si 0.474 0.526 0.750
9 Si 0.474 0.948 0.750
10 Si 0.526 0.052 0.250
11 Si 0.526 0.474 0.250
12 Si 0.948 0.474 0.250

Calculated values
DFT total energy (eV per atom): -3.028
E_form (uncorrected) (kJ/mol of formula units): 21
Crystal system: hexagonal